# SrCaY2Te4

Crystalline SrCaY2Te4 at its relaxed geometry (PBE, the Alexandria database).

Output
* N(E_F): 3.81 states/eV/f.u.
* raw formation energy: -1483 meV/atom
* space group: P2/m (10)
* density: 5310 kg/m3

Lattice parameters (Å, degrees): 7.698 4.448 7.884 90.00 109.06 90.00
Fractional positions:
Sr  0.000  0.000  0.000
Ca  0.500  0.500  0.000
Y  0.000  0.500  0.500
Y  0.500  0.000  0.500
Te  0.252  0.000  0.740
Te  0.260  0.500  0.264
Te  0.740  0.500  0.736
Te  0.748  0.000  0.260

=====

# SrCa2YTe4

Crystalline SrCa2YTe4 at its relaxed geometry (PBE, the Alexandria database).

Output
* N(E_F): 2.64 states/eV/f.u.
* raw formation energy: -1563 meV/atom
* space group: P2/m (10)
* density: 4864 kg/m3

Lattice parameters (Å, degrees): 7.826 4.506 7.866 90.00 109.26 90.00
Fractional positions:
Sr  0.000  0.000  0.000
Ca  0.500  0.000  0.500
Ca  0.500  0.500  0.000
Y  0.000  0.500  0.500
Te  0.249  0.000  0.740
Te  0.256  0.500  0.262
Te  0.744  0.500  0.738
Te  0.751  0.000  0.260

=====

Q: The highest density belongs to which entry?
A: SrCaY2Te4

=====

Q: Number 2 is which compound?
A: SrCa2YTe4

=====

Q: density of number 1 (SrCaY2Te4)?
A: 5310 kg/m3